Entry from Alexandria: an optimized crystal structure of GaCu4Si (PBE).

N(E_F), states/eV/atom: 0.25
Polymorph energy (0 for the lowest one), eV per atom: 0.0000
Uncorrected formation energy, eV/f.u.: 0.01

a = 10.596 Å, b = 3.885 Å, c = 7.574 Å
α = 90.00°, β = 90.00°, γ = 90.00°
Fractional positions:
Ga 0.150 0.250 0.039
Ga 0.350 0.750 0.539
Ga 0.650 0.250 0.461
Ga 0.850 0.750 0.961
Cu 0.030 0.750 0.207
Cu 0.116 0.750 0.852
Cu 0.141 0.250 0.367
Cu 0.223 0.250 0.686
Cu 0.277 0.750 0.186
Cu 0.359 0.750 0.867
Cu 0.384 0.250 0.352
Cu 0.470 0.250 0.707
Cu 0.530 0.750 0.293
Cu 0.616 0.750 0.648
Cu 0.641 0.250 0.133
Cu 0.723 0.250 0.814
Cu 0.777 0.750 0.314
Cu 0.859 0.750 0.633
Cu 0.884 0.250 0.148
Cu 0.970 0.250 0.793
Si 0.081 0.750 0.544
Si 0.419 0.250 0.044
Si 0.581 0.750 0.956
Si 0.919 0.250 0.456



Entry from Alexandria: an optimized crystal structure of GaCu2Si (PBE).

N(E_F), states/eV/atom: 0.56
Polymorph energy (0 for the lowest one), eV per atom: 0.1266
Uncorrected formation energy, eV/f.u.: 0.70

a = 4.293 Å, b = 4.293 Å, c = 4.293 Å
α = 60.00°, β = 60.00°, γ = 60.00°
Fractional positions:
Ga 0.000 0.000 0.000
Cu 0.250 0.250 0.250
Cu 0.750 0.750 0.750
Si 0.500 0.500 0.500



Entry from Alexandria: an optimized crystal structure of GaCu4Si (PBE).

N(E_F), states/eV/atom: 0.22
Polymorph energy (0 for the lowest one), eV per atom: 0.0623
Uncorrected formation energy, eV/f.u.: 0.38

a = 6.195 Å, b = 6.195 Å, c = 5.047 Å
α = 103.17°, β = 103.17°, γ = 61.33°
Fractional positions:
Ga 0.212 0.212 0.185
Ga 0.788 0.788 0.815
Cu 0.091 0.665 0.481
Cu 0.194 0.806 0.000
Cu 0.312 0.312 0.786
Cu 0.335 0.909 0.519
Cu 0.665 0.091 0.481
Cu 0.688 0.688 0.214
Cu 0.806 0.194 0.000
Cu 0.909 0.335 0.519
Si 0.461 0.461 0.242
Si 0.539 0.539 0.758



Entry from Alexandria: an optimized crystal structure of GaCu2Si (PBE).

N(E_F), states/eV/atom: 0.41
Polymorph energy (0 for the lowest one), eV per atom: 0.0000
Uncorrected formation energy, eV/f.u.: 0.19

a = 8.083 Å, b = 8.083 Å, c = 8.083 Å
α = 20.10°, β = 20.10°, γ = 20.10°
Fractional positions:
Ga 0.000 0.000 0.000
Cu 0.246 0.246 0.246
Cu 0.754 0.754 0.754
Si 0.500 0.500 0.500



Entry from Alexandria: an optimized crystal structure of Ga3Cu12Si (PBE).

N(E_F), states/eV/atom: 0.18
Uncorrected formation energy, eV/f.u.: -1.39

a = 3.702 Å, b = 3.702 Å, c = 14.569 Å
α = 90.00°, β = 90.00°, γ = 90.00°
Fractional positions:
Ga 0.000 0.000 0.000
Ga 0.000 0.000 0.253
Ga 0.000 0.000 0.747
Cu 0.000 0.500 0.127
Cu 0.000 0.500 0.380
Cu 0.000 0.500 0.620
Cu 0.000 0.500 0.873
Cu 0.500 0.000 0.127
Cu 0.500 0.000 0.380
Cu 0.500 0.000 0.620
Cu 0.500 0.000 0.873
Cu 0.500 0.500 0.000
Cu 0.500 0.500 0.254
Cu 0.500 0.500 0.500
Cu 0.500 0.500 0.746
Si 0.000 0.000 0.500



Entry from Alexandria: an optimized crystal structure of GaCu2Si (PBE).

N(E_F), states/eV/atom: 0.37
Polymorph energy (0 for the lowest one), eV per atom: 0.0412
Uncorrected formation energy, eV/f.u.: 0.36

a = 3.765 Å, b = 3.765 Å, c = 3.827 Å
α = 90.00°, β = 90.00°, γ = 90.00°
Fractional positions:
Ga 0.000 0.000 0.000
Cu 0.000 0.500 0.500
Cu 0.500 0.000 0.500
Si 0.500 0.500 0.000